(1)
First-principles (PBE) data for a relaxed structure of Dy2TmRu3, as listed in the Alexandria database.

The structure in CIF format:
```
data_Dy2TmRu3
_chemical_formula_sum 'Dy2 Tm1 Ru3'
_symmetry_space_group_name_H-M 'P 4/m m m'
_symmetry_Int_Tables_number 123
_symmetry_space_group_name_Hall '-P 4 2'
_cell_length_a 3.3891
_cell_length_b 3.3891
_cell_length_c 10.1034
_cell_angle_alpha 90.00
_cell_angle_beta 90.00
_cell_angle_gamma 90.00
loop_
_atom_site_label
_atom_site_type_symbol
_atom_site_fract_x
_atom_site_fract_y
_atom_site_fract_z
Dy1 Dy 0.0000 0.0000 0.1681
Tm1 Tm 0.0000 0.0000 0.5000
Ru1 Ru 0.5000 0.5000 0.0000
Ru2 Ru 0.5000 0.5000 0.3358
```

total magnetic moment	0.000	μB per atom
mass density	11.41	Mg/m³
energy of formation from the pure elements	-357	meV/atom


(2)
First-principles (PBE) data for a relaxed structure of Dy2Tm3Ru3, as listed in the Alexandria database.

The structure in CIF format:
```
data_Dy2Tm3Ru3
_chemical_formula_sum 'Dy4 Tm6 Ru6'
_symmetry_space_group_name_H-M 'I m m m'
_symmetry_Int_Tables_number 71
_symmetry_space_group_name_Hall '-I 2 2'
_cell_length_a 3.4321
_cell_length_b 5.0319
_cell_length_c 20.4982
_cell_angle_alpha 90.00
_cell_angle_beta 90.00
_cell_angle_gamma 90.00
loop_
_atom_site_label
_atom_site_type_symbol
_atom_site_fract_x
_atom_site_fract_y
_atom_site_fract_z
Dy1 Dy 0.0000 0.0000 0.2181
Tm1 Tm 0.0000 0.0000 0.0000
Tm2 Tm 0.0000 0.5000 0.1094
Ru1 Ru 0.0000 0.0000 0.5000
Ru2 Ru 0.0000 0.5000 0.3862
```

total magnetic moment	0.000	μB per atom
mass density	10.65	Mg/m³
energy of formation from the pure elements	-344	meV/atom


(3)
First-principles (PBE) data for a relaxed structure of Dy3Tm2Ru3, as listed in the Alexandria database.

The structure in CIF format:
```
data_Dy3Tm2Ru3
_chemical_formula_sum 'Dy6 Tm4 Ru6'
_symmetry_space_group_name_H-M 'I m m m'
_symmetry_Int_Tables_number 71
_symmetry_space_group_name_Hall '-I 2 2'
_cell_length_a 3.4471
_cell_length_b 5.0825
_cell_length_c 20.4556
_cell_angle_alpha 90.00
_cell_angle_beta 90.00
_cell_angle_gamma 90.00
loop_
_atom_site_label
_atom_site_type_symbol
_atom_site_fract_x
_atom_site_fract_y
_atom_site_fract_z
Dy1 Dy 0.0000 0.0000 0.0000
Dy2 Dy 0.0000 0.5000 0.1116
Tm1 Tm 0.0000 0.0000 0.2197
Ru1 Ru 0.0000 0.0000 0.5000
Ru2 Ru 0.0000 0.5000 0.3837
```

total magnetic moment	0.000	μB per atom
mass density	10.46	Mg/m³
energy of formation from the pure elements	-312	meV/atom


(4)
First-principles (PBE) data for a relaxed structure of Dy2TmRu, as listed in the Alexandria database.

The structure in CIF format:
```
data_Dy2TmRu
_chemical_formula_sum 'Dy8 Tm4 Ru4'
_symmetry_space_group_name_H-M 'P n m a'
_symmetry_Int_Tables_number 62
_symmetry_space_group_name_Hall '-P 2ac 2n'
_cell_length_a 7.2778
_cell_length_b 9.1362
_cell_length_c 6.2794
_cell_angle_alpha 90.00
_cell_angle_beta 90.00
_cell_angle_gamma 90.00
loop_
_atom_site_label
_atom_site_type_symbol
_atom_site_fract_x
_atom_site_fract_y
_atom_site_fract_z
Dy1 Dy 0.1770 0.0636 0.1697
Tm1 Tm 0.0413 0.2500 0.6335
Ru1 Ru 0.1150 0.7500 0.9651
```

total magnetic moment	0.000	μB per atom
mass density	9.47	Mg/m³
energy of formation from the pure elements	-339	meV/atom